Record 1
First-principles (GGA-PBE) data for Li3CrBi after structural relaxation, as listed in Alexandria.

Cell and atoms, written as extended XYZ:
```
5
Lattice="5.2467 0.0000 0.0000 0.0000 5.2467 0.0000 0.0000 0.0000 5.2467" Properties=species:S:1:pos:R:3 pbc="T T T"
Li 0.0000 0.0000 2.6233
Li 0.0000 2.6233 0.0000
Li 2.6233 0.0000 0.0000
Cr 2.6233 2.6233 2.6233
Bi 0.0000 0.0000 0.0000
```

Values from the calculation:
The value obtained for the total magnetization is 1.17 μB per atom. The value obtained for the volume is 144 Å³ per cell. Its offset from the most stable computed form is 0 meV per atom. As for the space-group type: Pm-3m, No. 221. The value obtained for the formation energy is 0.393 eV/atom.

=====

Record 2
First-principles (GGA-PBE) data for CaLa2Al after structural relaxation, as listed in Alexandria.

Cell and atoms, written as extended XYZ:
```
4
Lattice="1.8998 1.0969 11.3933 -1.8998 1.0969 11.3933 0.0000 -2.1938 11.3933" Properties=species:S:1:pos:R:3 pbc="T T T"
Ca 0.0000 0.0000 0.0000
La 0.0000 0.0000 7.9585
La 0.0000 0.0000 26.2213
Al 0.0000 0.0000 17.0899
```

Values from the calculation:
The value obtained for the total magnetization is 0.05 μB per atom. The value obtained for the volume is 142 Å³ per cell. As for the space-group type: R-3m, No. 166. The value obtained for the formation energy is -0.008 eV/atom.